Record 1
A geometry-optimized BaCaP2O structure. Source: Alexandria via LeMat-Bulk, functional PBE.

Unit cell a=5.8237 b=5.8237 c=4.5630 alpha=90.00 beta=90.00 gamma=90.00
Sites, in units of the cell vectors:
Ba (0.0000, 0.0000, 0.0000)
Ca (0.5000, 0.5000, 0.5000)
P (0.0000, 0.5000, 0.0000)
P (0.5000, 0.0000, 0.0000)
O (0.0000, 0.0000, 0.5000)

Values from the calculation:
The volume comes out at 30.951 A^3/atom. For the energy above the most stable polymorph in this dataset, the calculation gives 0.577 eV per atom. The raw formation energy comes out at 113 meV per atom. As for the space group: P4/mmm.



Record 2
A geometry-optimized AcSeBr6 structure. Source: Alexandria via LeMat-Bulk, functional PBE.

Unit cell a=6.9480 b=6.9748 c=7.5506 alpha=63.88 beta=89.79 gamma=65.95
Sites, in units of the cell vectors:
Ac (0.0000, 0.0000, 0.0000)
Se (0.5000, 0.0000, 0.5000)
Br (0.0805, 0.4978, 0.2473)
Br (0.2794, 0.8097, 0.7326)
Br (0.4416, 0.8347, 0.2682)
Br (0.5584, 0.1653, 0.7318)
Br (0.7206, 0.1903, 0.2674)
Br (0.9195, 0.5022, 0.7527)

Values from the calculation:
The volume comes out at 36.631 A^3/atom. The raw formation energy comes out at -908 meV per atom. As for the space group: P-1.



Record 3
A geometry-optimized BaPb3Au structure. Source: Alexandria via LeMat-Bulk, functional PBE.

Unit cell a=6.3297 b=6.3297 c=6.3297 alpha=90.00 beta=90.00 gamma=90.00
Sites, in units of the cell vectors:
Ba (0.0000, 0.0000, 0.0000)
Pb (0.0000, 0.0000, 0.5000)
Pb (0.0000, 0.5000, 0.0000)
Pb (0.5000, 0.0000, 0.0000)
Au (0.5000, 0.5000, 0.5000)

Values from the calculation:
The volume comes out at 50.720 A^3/atom. As for the space group: Pm-3m. The formation energy is 1109 meV/atom.